1.
8
Lattice="4.375 0.000 0.000 0.000 4.375 0.000 0.000 0.000 9.945" Properties=species:S:1:pos:R:3 comment="BaTaAsO | OQMD via LeMat-Bulk | PBE | optimized geometry" e_above_lowest_polymorph_ev_per_atom=0.6862 spacegroup=P4/nmm total_magnetization_mub_per_fu=0.01 final_energy_ev_per_atom=-6.420 pbc="T T T"
Ba 0.000 0.000 4.973
Ba 2.187 2.187 4.973
As 2.187 0.000 7.365
Ta 0.000 2.187 0.193
O 2.187 2.187 0.000
As 0.000 2.187 2.581
Ta 2.187 0.000 9.752
O 0.000 0.000 0.000

***

2.
10
Lattice="9.372 -2.004 0.000 9.372 2.004 0.000 -2.427 0.000 8.102" Properties=species:S:1:pos:R:3 comment="Pr4CoCl5 | OQMD via LeMat-Bulk | PBE | optimized geometry" spacegroup=C2/m total_magnetization_mub_per_fu=0.00 final_energy_ev_per_atom=-5.126 pbc="T T T"
Pr 4.321 0.000 7.192
Cl 8.158 0.000 4.051
Co 9.372 0.000 0.000
Cl 2.210 0.000 2.899
Pr 18.161 0.000 1.768
Cl 1.113 0.000 7.081
Pr -1.844 0.000 6.333
Pr 11.996 0.000 0.910
Cl 14.107 0.000 5.203
Cl 15.204 0.000 1.021